1.
RbHg2Au2 | GGA-PBE | optimized geometry

a b c (Å): 8.879 8.879 3.148
angles (deg): 90.00 90.00 90.00
Sites, in units of the cell vectors:
1 Rb 0.000 0.000 0.000
2 Rb 0.500 0.500 0.000
3 Hg 0.126 0.374 0.000
4 Hg 0.374 0.874 0.000
5 Hg 0.626 0.126 0.000
6 Hg 0.874 0.626 0.000
7 Au 0.169 0.669 0.500
8 Au 0.331 0.169 0.500
9 Au 0.669 0.831 0.500
10 Au 0.831 0.331 0.500

Summary:
DOS(E_F): 2.33 states/eV/cell
Uncorrected energy: -16.88 eV/cell
Formation enthalpy at 0 K: -0.063 eV per atom


2.
RbHg12Au4 | GGA-PBE | optimized geometry

a b c (Å): 8.652 8.652 8.652
angles (deg): 109.47 109.47 109.47
Sites, in units of the cell vectors:
1 Rb 0.000 0.000 0.000
2 Hg 0.157 0.348 0.506
3 Hg 0.157 0.652 0.809
4 Hg 0.191 0.843 0.348
5 Hg 0.348 0.191 0.843
6 Hg 0.348 0.506 0.157
7 Hg 0.494 0.843 0.652
8 Hg 0.506 0.157 0.348
9 Hg 0.652 0.494 0.843
10 Hg 0.652 0.809 0.157
11 Hg 0.809 0.157 0.652
12 Hg 0.843 0.348 0.191
13 Hg 0.843 0.652 0.494
14 Au 0.000 0.000 0.500
15 Au 0.000 0.500 0.000
16 Au 0.500 0.000 0.000
17 Au 0.500 0.500 0.500

Summary:
DOS(E_F): 2.82 states/eV/cell
Uncorrected energy: -18.29 eV/cell
Formation enthalpy at 0 K: -0.035 eV per atom


3.
Rb2Hg2Au | GGA-PBE | optimized geometry

a b c (Å): 8.067 8.067 5.531
angles (deg): 90.00 90.00 90.00
Sites, in units of the cell vectors:
1 Rb 0.179 0.321 0.000
2 Rb 0.321 0.821 0.000
3 Rb 0.679 0.179 0.000
4 Rb 0.821 0.679 0.000
5 Hg 0.137 0.637 0.500
6 Hg 0.363 0.137 0.500
7 Hg 0.637 0.863 0.500
8 Hg 0.863 0.363 0.500
9 Au 0.000 0.000 0.500
10 Au 0.500 0.500 0.500

Summary:
DOS(E_F): 3.43 states/eV/cell
Uncorrected energy: -13.69 eV/cell
Formation enthalpy at 0 K: -0.206 eV per atom


4.
RbHg2Au9 | GGA-PBE | optimized geometry

a b c (Å): 9.674 9.674 9.674
angles (deg): 34.60 34.60 34.60
Sites, in units of the cell vectors:
1 Rb 0.000 0.000 0.000
2 Hg 0.141 0.141 0.141
3 Hg 0.859 0.859 0.859
4 Au 0.080 0.588 0.588
5 Au 0.333 0.333 0.333
6 Au 0.412 0.412 0.920
7 Au 0.412 0.920 0.412
8 Au 0.500 0.500 0.500
9 Au 0.588 0.080 0.588
10 Au 0.588 0.588 0.080
11 Au 0.667 0.667 0.667
12 Au 0.920 0.412 0.412

Summary:
DOS(E_F): 3.89 states/eV/cell
Uncorrected energy: -31.80 eV/cell
Formation enthalpy at 0 K: -0.061 eV per atom


5.
Rb4HgAu2 | GGA-PBE | optimized geometry

a b c (Å): 6.767 6.767 16.908
angles (deg): 90.00 90.00 90.00
Sites, in units of the cell vectors:
1 Rb 0.000 0.000 0.219
2 Rb 0.000 0.000 0.781
3 Rb 0.000 0.500 0.000
4 Rb 0.000 0.500 0.500
5 Rb 0.500 0.000 0.000
6 Rb 0.500 0.000 0.500
7 Rb 0.500 0.500 0.281
8 Rb 0.500 0.500 0.719
9 Hg 0.000 0.000 0.000
10 Hg 0.500 0.500 0.500
11 Au 0.000 0.000 0.417
12 Au 0.000 0.000 0.583
13 Au 0.500 0.500 0.083
14 Au 0.500 0.500 0.917

Summary:
DOS(E_F): 12.27 states/eV/cell
Uncorrected energy: -22.51 eV/cell
Formation enthalpy at 0 K: -0.076 eV per atom


6.
Rb2HgAu3 | GGA-PBE | optimized geometry

a b c (Å): 5.710 7.112 9.070
angles (deg): 90.00 90.00 90.00
Sites, in units of the cell vectors:
1 Rb 0.250 0.000 0.126
2 Rb 0.250 0.500 0.359
3 Rb 0.750 0.000 0.874
4 Rb 0.750 0.500 0.641
5 Hg 0.250 0.500 0.920
6 Hg 0.750 0.500 0.080
7 Au 0.000 0.000 0.500
8 Au 0.250 0.204 0.718
9 Au 0.250 0.796 0.718
10 Au 0.500 0.000 0.500
11 Au 0.750 0.204 0.282
12 Au 0.750 0.796 0.282

Summary:
DOS(E_F): 5.41 states/eV/cell
Uncorrected energy: -27.06 eV/cell
Formation enthalpy at 0 K: -0.244 eV per atom


7.
RbHg5Au | GGA-PBE | optimized geometry

a b c (Å): 5.532 7.111 10.952
angles (deg): 90.00 90.00 90.00
Sites, in units of the cell vectors:
1 Rb 0.000 0.000 0.000
2 Rb 0.500 0.500 0.500
3 Hg 0.000 0.281 0.308
4 Hg 0.000 0.281 0.692
5 Hg 0.000 0.500 0.000
6 Hg 0.000 0.719 0.308
7 Hg 0.000 0.719 0.692
8 Hg 0.500 0.000 0.500
9 Hg 0.500 0.219 0.192
10 Hg 0.500 0.219 0.808
11 Hg 0.500 0.781 0.192
12 Hg 0.500 0.781 0.808
13 Au 0.000 0.000 0.500
14 Au 0.500 0.500 0.000

Summary:
DOS(E_F): 4.04 states/eV/cell
Uncorrected energy: -13.37 eV/cell
Formation enthalpy at 0 K: -0.133 eV per atom


8.
RbHg3Au2 | GGA-PBE | optimized geometry

a b c (Å): 7.732 7.732 7.732
angles (deg): 74.15 74.15 74.15
Sites, in units of the cell vectors:
1 Rb 0.212 0.212 0.212
2 Rb 0.788 0.788 0.788
3 Hg 0.236 0.236 0.720
4 Hg 0.236 0.720 0.236
5 Hg 0.280 0.764 0.764
6 Hg 0.720 0.236 0.236
7 Hg 0.764 0.280 0.764
8 Hg 0.764 0.764 0.280
9 Au 0.000 0.000 0.000
10 Au 0.000 0.500 0.500
11 Au 0.500 0.000 0.500
12 Au 0.500 0.500 0.000

Summary:
DOS(E_F): 2.95 states/eV/cell
Uncorrected energy: -17.37 eV/cell
Formation enthalpy at 0 K: -0.043 eV per atom


9.
Rb2HgAu2 | GGA-PBE | optimized geometry

a b c (Å): 6.721 6.721 8.746
angles (deg): 100.53 100.53 60.32
Sites, in units of the cell vectors:
1 Rb 0.002 0.705 0.863
2 Rb 0.295 0.998 0.637
3 Rb 0.705 0.002 0.363
4 Rb 0.998 0.295 0.137
5 Hg 0.401 0.599 0.250
6 Hg 0.599 0.401 0.750
7 Au 0.201 0.514 0.490
8 Au 0.486 0.799 0.010
9 Au 0.514 0.201 0.990
10 Au 0.799 0.486 0.510

Summary:
DOS(E_F): 2.65 states/eV/cell
Uncorrected energy: -20.24 eV/cell
Formation enthalpy at 0 K: -0.266 eV per atom


10.
Rb6HgAu | GGA-PBE | optimized geometry

a b c (Å): 8.919 14.422 8.779
angles (deg): 90.00 107.57 90.00
Sites, in units of the cell vectors:
1 Rb 0.223 0.169 0.248
2 Rb 0.223 0.831 0.248
3 Rb 0.245 0.500 0.226
4 Rb 0.255 0.000 0.774
5 Rb 0.277 0.331 0.752
6 Rb 0.277 0.669 0.752
7 Rb 0.723 0.331 0.248
8 Rb 0.723 0.669 0.248
9 Rb 0.745 0.000 0.226
10 Rb 0.755 0.500 0.774
11 Rb 0.777 0.169 0.752
12 Rb 0.777 0.831 0.752
13 Hg 0.000 0.500 0.500
14 Hg 0.500 0.000 0.500
15 Au 0.000 0.000 0.000
16 Au 0.500 0.500 0.000

Summary:
DOS(E_F): 8.74 states/eV/cell
Uncorrected energy: -20.72 eV/cell
Formation enthalpy at 0 K: -0.122 eV per atom


11.
Rb2Hg8Au | GGA-PBE | optimized geometry

a b c (Å): 5.190 5.190 13.295
angles (deg): 90.00 90.00 90.00
Sites, in units of the cell vectors:
1 Rb 0.000 0.000 0.198
2 Rb 0.000 0.000 0.802
3 Hg 0.000 0.500 0.000
4 Hg 0.000 0.500 0.383
5 Hg 0.000 0.500 0.617
6 Hg 0.500 0.000 0.000
7 Hg 0.500 0.000 0.383
8 Hg 0.500 0.000 0.617
9 Hg 0.500 0.500 0.216
10 Hg 0.500 0.500 0.784
11 Au 0.000 0.000 0.500

Summary:
DOS(E_F): 4.77 states/eV/cell
Uncorrected energy: -9.24 eV/cell
Formation enthalpy at 0 K: -0.147 eV per atom


12.
Rb12Hg5Au3 | GGA-PBE | optimized geometry

a b c (Å): 18.235 18.235 18.235
angles (deg): 109.47 109.47 109.47
Sites, in units of the cell vectors:
1 Rb 0.061 0.233 0.130
2 Rb 0.061 0.328 0.931
3 Rb 0.069 0.630 0.397
4 Rb 0.069 0.939 0.672
5 Rb 0.103 0.733 0.672
6 Rb 0.103 0.870 0.431
7 Rb 0.130 0.061 0.233
8 Rb 0.130 0.569 0.897
9 Rb 0.172 0.233 0.603
10 Rb 0.172 0.439 0.569
11 Rb 0.233 0.130 0.061
12 Rb 0.233 0.603 0.172
13 Rb 0.267 0.328 0.897
14 Rb 0.267 0.439 0.370
15 Rb 0.328 0.897 0.267
16 Rb 0.328 0.931 0.061
17 Rb 0.370 0.267 0.439
18 Rb 0.370 0.603 0.931
19 Rb 0.397 0.069 0.630
20 Rb 0.397 0.828 0.767
21 Rb 0.431 0.103 0.870
22 Rb 0.431 0.828 0.561
23 Rb 0.439 0.370 0.267
24 Rb 0.439 0.569 0.172
25 Rb 0.561 0.431 0.828
26 Rb 0.561 0.630 0.733
27 Rb 0.569 0.172 0.439
28 Rb 0.569 0.897 0.130
29 Rb 0.603 0.172 0.233
30 Rb 0.603 0.931 0.370
31 Rb 0.630 0.397 0.069
32 Rb 0.630 0.733 0.561
33 Rb 0.672 0.069 0.939
34 Rb 0.672 0.103 0.733
35 Rb 0.733 0.561 0.630
36 Rb 0.733 0.672 0.103
37 Rb 0.767 0.397 0.828
38 Rb 0.767 0.870 0.939
39 Rb 0.828 0.561 0.431
40 Rb 0.828 0.767 0.397
41 Rb 0.870 0.431 0.103
42 Rb 0.870 0.939 0.767
43 Rb 0.897 0.130 0.569
44 Rb 0.897 0.267 0.328
45 Rb 0.931 0.061 0.328
46 Rb 0.931 0.370 0.603
47 Rb 0.939 0.672 0.069
48 Rb 0.939 0.767 0.870
49 Hg 0.000 0.000 0.000
50 Hg 0.000 0.000 0.500
51 Hg 0.000 0.500 0.000
52 Hg 0.000 0.500 0.500
53 Hg 0.125 0.750 0.875
54 Hg 0.125 0.875 0.250
55 Hg 0.250 0.125 0.875
56 Hg 0.250 0.625 0.375
57 Hg 0.375 0.250 0.625
58 Hg 0.375 0.625 0.750
59 Hg 0.500 0.000 0.000
60 Hg 0.500 0.000 0.500
61 Hg 0.500 0.500 0.000
62 Hg 0.500 0.500 0.500
63 Hg 0.625 0.375 0.250
64 Hg 0.625 0.750 0.375
65 Hg 0.750 0.375 0.625
66 Hg 0.750 0.875 0.125
67 Hg 0.875 0.125 0.750
68 Hg 0.875 0.250 0.125
69 Au 0.125 0.250 0.375
70 Au 0.125 0.375 0.750
71 Au 0.250 0.375 0.125
72 Au 0.250 0.875 0.625
73 Au 0.375 0.125 0.250
74 Au 0.375 0.750 0.125
75 Au 0.625 0.250 0.875
76 Au 0.625 0.875 0.750
77 Au 0.750 0.125 0.375
78 Au 0.750 0.625 0.875
79 Au 0.875 0.625 0.250
80 Au 0.875 0.750 0.625

Summary:
DOS(E_F): 100.84 states/eV/cell
Uncorrected energy: -95.44 eV/cell
Formation enthalpy at 0 K: -0.045 eV per atom